Version 1
Be2TcBr PBEsol optimized geometry; calculated volume = 14.514 A^3/atom; space group = C2/m, No. 12; D(E_F) = 0.754 states/eV per atom
1.0
-2.060 -0.087 -2.408
2.687 -3.304 -0.092
-2.962 -2.412 2.621
Be Tc Br
2 1 1
direct
0.203 0.407 0.382 Be
0.797 0.593 0.618 Be
0.500 0.000 0.500 Tc
0.000 0.000 0.000 Br


Version 2
Be2TcBr PBEsol optimized geometry; calculated volume = 14.289 A^3/atom; space group = Cm, No. 8; D(E_F) = 0.760 states/eV per atom
1.0
-1.204 2.540 1.946
-0.932 -3.230 0.636
4.409 -0.567 3.470
Be Tc Br
2 1 1
direct
0.041 0.082 0.951 Be
0.374 0.748 0.903 Be
0.709 0.417 0.148 Tc
0.376 0.752 0.499 Br


Which is the most stable structure? version 2 is the most stable.


Version 1
Be2TeBr PBEsol optimized geometry; calculated volume = 21.070 A^3/atom; space group = I-42d, No. 122; D(E_F) = 0.582 states/eV per atom
1.0
-1.104 5.163 -1.223
-3.934 -1.635 -3.350
-1.251 -1.546 6.608
Be Te Br
4 2 2
direct
0.372 0.875 0.250 Be
0.878 0.375 0.250 Be
0.125 0.122 0.750 Be
0.625 0.628 0.750 Be
0.250 0.750 0.500 Te
0.000 0.000 0.000 Te
0.750 0.250 0.500 Br
0.500 0.500 0.000 Br


Version 2
Be2TeBr PBEsol optimized geometry; calculated volume = 18.373 A^3/atom; space group = R-3m, No. 166; D(E_F) = 0.193 states/eV per atom
1.0
3.740 0.000 0.000
1.870 3.239 0.000
1.870 1.080 6.066
Be Te Br
2 1 1
direct
0.257 0.257 0.228 Be
0.743 0.743 0.772 Be
0.000 0.000 0.000 Te
0.500 0.500 0.500 Br


Which is the most stable structure? version 1 is the most stable.


Version 1
BeTe2Br PBEsol optimized geometry; calculated volume = 22.821 A^3/atom; space group = F-43m, No. 216; D(E_F) = 0.583 states/eV per atom
1.0
-5.051 0.000 0.164
-2.507 -4.342 0.638
-2.387 -0.923 4.358
Be Te Br
1 2 1
direct
0.500 0.500 0.500 Be
0.000 0.000 0.000 Te
0.750 0.750 0.750 Te
0.250 0.250 0.250 Br


Version 2
BeTe2Br PBEsol optimized geometry; calculated volume = 25.944 A^3/atom; space group = Pmmm, No. 47; D(E_F) = 0.502 states/eV per atom
1.0
4.021 0.000 0.000
0.000 3.862 0.000
0.000 0.000 6.681
Be Te Br
1 2 1
direct
0.500 0.500 0.000 Be
0.000 0.000 0.000 Te
0.000 0.500 0.500 Te
0.500 0.000 0.500 Br


Which is the most stable structure? version 2 is the most stable.


Version 1
BeTl2Br PBEsol optimized geometry; calculated volume = 23.767 A^3/atom; space group = Cmmm, No. 65; D(E_F) = 0.423 states/eV per atom
1.0
3.532 0.338 0.000
-0.560 3.504 0.000
0.000 0.000 7.565
Be Tl Br
1 2 1
direct
0.500 0.500 0.500 Be
0.000 0.000 0.286 Tl
0.000 0.000 0.714 Tl
0.500 0.500 0.000 Br


Version 2
BeTl2Br PBEsol optimized geometry; calculated volume = 25.862 A^3/atom; space group = I-4m2, No. 119; D(E_F) = 0.392 states/eV per atom
1.0
-3.546 -2.054 -1.371
1.887 -0.705 -3.824
2.872 -3.408 4.489
Be Tl Br
1 2 1
direct
0.500 0.500 0.000 Be
0.000 0.000 0.000 Tl
0.750 0.250 0.500 Tl
0.250 0.750 0.500 Br


Version 3
BeTl2Br PBEsol optimized geometry; calculated volume = 25.606 A^3/atom; space group = Fm-3m, No. 225; D(E_F) = 0.767 states/eV per atom
1.0
5.252 0.000 0.000
2.626 4.548 0.000
2.626 1.516 4.288
Be Tl Br
1 2 1
direct
0.000 0.000 0.000 Be
0.750 0.750 0.750 Tl
0.250 0.250 0.250 Tl
0.500 0.500 0.500 Br


Version 4
BeTl2Br PBEsol optimized geometry; calculated volume = 25.921 A^3/atom; space group = P4mm, No. 99; D(E_F) = 0.355 states/eV per atom
1.0
3.726 0.000 0.000
0.000 3.726 0.000
0.000 0.000 7.466
Be Tl Br
1 2 1
direct
0.000 0.000 0.351 Be
0.000 0.000 0.001 Tl
0.500 0.500 0.370 Tl
0.500 0.500 0.778 Br


Which is the most stable structure? version 4 is the most stable.